Entry from Alexandria: a geometry-optimized AlFeW2 structure (PBE). Values from VASP.

Structure (Quantum ESPRESSO input):
```
&SYSTEM
  ibrav = 0, nat = 4, ntyp = 3
/
ATOMIC_SPECIES
Al 26.98 Al.upf
Fe 55.84 Fe.upf
W 183.84 W.upf
ATOMIC_POSITIONS angstrom
Al -2.6251 -0.6631 -0.1645
Fe -5.6504 0.0087 1.9981
W -5.9354 1.3180 4.2428
W -3.1407 0.6974 2.2451
CELL_PARAMETERS angstrom
-1.4627 0.6351 -2.2434
-0.7622 -2.6331 -0.2483
-6.0507 1.3436 4.3253
```

Output
- energy of formation (kcal/mol of atoms) = 1.13
- calculated density (Mg/m³) = 13.07
- total magnetic moment (μB per atom) = 0.000
- final energy (eV per atom) = -9.479